A relaxed Ba2Sc crystal, computed with PBE.

* space group: I4/mmm
* E_form: 0.90 eV per formula unit

abc: 7.972 7.972 7.972
angles: 148.54 148.54 45.09
Atoms (fractional coordinates):
Ba (0.145, 0.145, 0.000)
Ba (0.855, 0.855, 0.000)
Sc (0.500, 0.500, 0.000)


A relaxed SiAg2BiAs crystal, computed with PBE.

* space group: P4/mmm
* energy relative to the elements, uncorrected: 473.1 meV/atom

abc: 4.875 4.931 4.875
angles: 90.00 90.00 90.00
Atoms (fractional coordinates):
As (0.000, 0.500, 0.000)
Si (0.000, 0.000, 0.000)
Bi (0.500, 0.500, 0.500)
Ag (0.000, 0.000, 0.500)
Ag (0.500, 0.000, 0.000)


What did we get for magnetic moment? Answer: 0.00 0.00 μB per formula unit, in the order shown.